1.
Crystalline As2PO at its relaxed geometry. Source: the Alexandria database, functional PBE.

Calculated values
**Space-group type**: Fm-3m (225)
**DOS at the Fermi energy**: 1.5 states/eV per cell
**ΔE to the lowest computed polymorph**: 232 meV/atom

abc: 4.309 4.309 4.309
angles: 60.00 60.00 60.00
Element x y z (fractional)
As  0.250  0.250  0.250
As  0.750  0.750  0.750
P  0.000  0.000  0.000
O  0.500  0.500  0.500

2.
Crystalline AsPO2 at its relaxed geometry. Source: the Alexandria database, functional PBE.

Calculated values
**Space-group type**: R-3m (166)
**DOS at the Fermi energy**: 0.7 states/eV per cell
**ΔE to the lowest computed polymorph**: 54 meV/atom

abc: 6.752 6.752 6.752
angles: 25.86 25.86 25.86
Element x y z (fractional)
As  0.000  0.000  0.000
P  0.500  0.500  0.500
O  0.109  0.109  0.109
O  0.891  0.891  0.891

3.
Crystalline AsPO2 at its relaxed geometry. Source: the Alexandria database, functional PBE.

Calculated values
**Space-group type**: Fm-3m (225)
**DOS at the Fermi energy**: 2.7 states/eV per cell
**ΔE to the lowest computed polymorph**: 810 meV/atom

abc: 4.019 4.019 4.019
angles: 60.00 60.00 60.00
Element x y z (fractional)
As  0.000  0.000  0.000
P  0.500  0.500  0.500
O  0.250  0.250  0.250
O  0.750  0.750  0.750

4.
Crystalline AsP2PbO at its relaxed geometry. Source: the Alexandria database, functional PBE.

Calculated values
**Space-group type**: P4/mmm (123)
**DOS at the Fermi energy**: 2.8 states/eV per cell
**ΔE to the lowest computed polymorph**: 723 meV/atom

abc: 5.247 5.247 4.096
angles: 90.00 90.00 90.00
Element x y z (fractional)
As  0.000  0.000  0.000
P  0.000  0.500  0.500
P  0.500  0.000  0.500
Pb  0.500  0.500  0.500
O  0.500  0.500  0.000

5.
Crystalline AsPPbO2 at its relaxed geometry. Source: the Alexandria database, functional PBE.

Calculated values
**Space-group type**: P4/mmm (123)
**DOS at the Fermi energy**: 3.5 states/eV per cell
**ΔE to the lowest computed polymorph**: 721 meV/atom

abc: 4.200 4.200 5.361
angles: 90.00 90.00 90.00
Element x y z (fractional)
As  0.000  0.000  0.000
P  0.500  0.500  0.000
Pb  0.500  0.500  0.500
O  0.000  0.500  0.500
O  0.500  0.000  0.500

6.
Crystalline AsP2PbO at its relaxed geometry. Source: the Alexandria database, functional PBE.

Calculated values
**Space-group type**: P4/mmm (123)
**DOS at the Fermi energy**: 6.4 states/eV per cell
**ΔE to the lowest computed polymorph**: 786 meV/atom

abc: 4.538 4.538 6.106
angles: 90.00 90.00 90.00
Element x y z (fractional)
As  0.000  0.000  0.000
P  0.000  0.500  0.000
P  0.500  0.000  0.000
Pb  0.000  0.000  0.500
O  0.500  0.500  0.500

7.
Crystalline AsP2PbO at its relaxed geometry. Source: the Alexandria database, functional PBE.

Calculated values
**Space-group type**: P4/mmm (123)
**DOS at the Fermi energy**: 4.1 states/eV per cell
**ΔE to the lowest computed polymorph**: 266 meV/atom

abc: 4.617 4.617 4.600
angles: 90.00 90.00 90.00
Element x y z (fractional)
As  0.000  0.000  0.000
P  0.000  0.500  0.500
P  0.500  0.000  0.500
Pb  0.500  0.500  0.000
O  0.000  0.000  0.500

8.
Crystalline AsP2PbO8 at its relaxed geometry. Source: the Alexandria database, functional PBE.

Calculated values
**Space-group type**: R32 (155)
**DOS at the Fermi energy**: 3.5 states/eV per cell

abc: 8.319 8.319 8.319
angles: 33.47 33.47 33.47
Element x y z (fractional)
As  0.000  0.000  0.000
P  0.257  0.257  0.257
P  0.743  0.743  0.743
Pb  0.500  0.500  0.500
O  0.015  0.399  0.754
O  0.191  0.191  0.191
O  0.246  0.601  0.985
O  0.399  0.754  0.015
O  0.601  0.985  0.246
O  0.754  0.015  0.399
O  0.809  0.809  0.809
O  0.985  0.246  0.601

9.
Crystalline AsPPbO2 at its relaxed geometry. Source: the Alexandria database, functional PBE.

Calculated values
**Space-group type**: P4/mmm (123)
**DOS at the Fermi energy**: 2.0 states/eV per cell
**ΔE to the lowest computed polymorph**: 0 meV/atom

abc: 3.969 3.969 4.940
angles: 90.00 90.00 90.00
Element x y z (fractional)
As  0.000  0.000  0.000
P  0.000  0.000  0.500
Pb  0.500  0.500  0.500
O  0.000  0.500  0.000
O  0.500  0.000  0.000

10.
Crystalline AsP3Pb2O16 at its relaxed geometry. Source: the Alexandria database, functional PBE.

Calculated values
**Space-group type**: P1 (1)

abc: 5.476 7.843 8.744
angles: 65.40 84.21 82.94
Element x y z (fractional)
As  0.000  0.000  0.000
P  0.429  0.169  0.363
P  0.477  0.582  0.480
P  0.860  0.605  0.881
Pb  0.436  0.304  0.907
Pb  0.941  0.882  0.451
O  0.047  0.013  0.186
O  0.053  0.438  0.908
O  0.078  0.757  0.026
O  0.203  0.636  0.509
O  0.224  0.047  0.465
O  0.236  0.109  0.862
O  0.316  0.363  0.383
O  0.480  0.199  0.179
O  0.503  0.503  0.331
O  0.574  0.421  0.641
O  0.595  0.547  0.904
O  0.641  0.745  0.400
O  0.673  0.106  0.454
O  0.716  0.071  0.923
O  0.850  0.668  0.039
O  0.900  0.784  0.722

11.
Crystalline AsP2PbO at its relaxed geometry. Source: the Alexandria database, functional PBE.

Calculated values
**Space-group type**: P4/mmm (123)
**DOS at the Fermi energy**: 3.4 states/eV per cell
**ΔE to the lowest computed polymorph**: 0 meV/atom

abc: 4.948 4.948 3.801
angles: 90.00 90.00 90.00
Element x y z (fractional)
As  0.000  0.000  0.000
P  0.000  0.500  0.000
P  0.500  0.000  0.000
Pb  0.500  0.500  0.500
O  0.000  0.000  0.500

12.
Crystalline AsP2PdO at its relaxed geometry. Source: the Alexandria database, functional PBE.

Calculated values
**Space-group type**: P4/mmm (123)
**DOS at the Fermi energy**: 3.1 states/eV per cell
**ΔE to the lowest computed polymorph**: 0 meV/atom

abc: 4.787 4.787 3.532
angles: 90.00 90.00 90.00
Element x y z (fractional)
As  0.000  0.000  0.000
P  0.000  0.500  0.000
P  0.500  0.000  0.000
Pd  0.500  0.500  0.500
O  0.000  0.000  0.500

Going through the records in order, we get mass density values of 5.78; 4.44; 4.99; 5.30; 6.06; 4.76; 6.10; 5.03; 7.36; 4.11; 6.43; 5.32 Mg/m³.
Going through the records in order, we get E_form (uncorrected) values of 1.393; -1.316; 1.706; 4.673; 1.965; 4.988; 2.388; -19.576; -1.641; -28.948; 1.058; 2.055 eV per formula unit.
Going through the records in order, we get final energy values of -4.569; -5.323; -4.567; -3.892; -4.344; -3.830; -4.350; -6.535; -5.065; -6.208; -4.616; -4.713 eV/atom.